4
Lattice="0.000 3.319 3.319 3.319 0.000 3.319 3.319 3.319 0.000" Properties=species:S:1:pos:R:3 comment="VAgSe2 PBE optimized geometry" formation_energy_uncorrected_ev_per_atom=-0.05 pbc="T T T"
Ag 3.319 3.319 3.319
Se 1.659 1.659 1.659
Se 4.978 4.978 4.978
V 0.000 0.000 0.000